Run 1
Material: NbCr2Tc
Method: DFT, PBE
State: relaxed

Calculated values
As for the symmetry: Fm-3m (225). Its calculated density is 8.75 Mg/m³. The calculated volume is 13.989 Å³/atom. The density of states at the Fermi level is 5.3 states/eV per cell.

Geometry as POSCAR:
```
NbCr2Tc
1.0
6.072 0.000 0.000
0.000 6.072 0.000
0.000 0.000 6.072
Nb Cr Tc
4 8 4
Direct
0.000 0.000 0.000
0.000 0.500 0.500
0.500 0.000 0.500
0.500 0.500 0.000
0.250 0.250 0.250
0.250 0.250 0.750
0.250 0.750 0.250
0.250 0.750 0.750
0.750 0.250 0.250
0.750 0.250 0.750
0.750 0.750 0.250
0.750 0.750 0.750
0.000 0.000 0.500
0.000 0.500 0.000
0.500 0.000 0.000
0.500 0.500 0.500
```

***

Run 2
Material: NbCr2Tc
Method: DFT, PBE
State: relaxed

Calculated values
As for the symmetry: P4/mmm (123). Its calculated density is 8.70 Mg/m³. The calculated volume is 14.070 Å³/atom. The density of states at the Fermi level is 3.3 states/eV per cell.

Geometry as POSCAR:
```
NbCr2Tc
1.0
3.033 0.000 0.000
0.000 3.033 0.000
0.000 0.000 6.117
Nb Cr Tc
1 2 1
Direct
0.000 0.000 0.000
0.500 0.500 0.260
0.500 0.500 0.740
0.000 0.000 0.500
```

***

Question: of the structures shown, which is the least stable? Reply: run 2.